Entry 1:
A relaxed structure of KZnHO2. Source: Alexandria, functional PBE.

- Crystal system: monoclinic

abc: 5.663 4.102 5.777
angles: 90.00 103.99 90.00
Space group P2/c (No. 13)
One atom of each set of equivalent atoms:
K: 0.000 0.205 0.250 [2 per cell]
Zn: 0.500 0.482 0.750 [2 per cell]
H: 0.500 0.000 0.000 [2 per cell]
O: 0.345 0.224 0.969 [4 per cell]

Entry 2:
A relaxed structure of K2ZrH2O4. Source: Alexandria, functional PBE.

- Crystal system: monoclinic

abc: 12.332 3.235 6.351
angles: 90.00 109.11 90.00
Space group C2/m (No. 12)
One atom of each set of equivalent atoms:
K: 0.138 0.000 0.074 [4 per cell]
Zr: 0.000 0.000 0.500 [2 per cell]
H: 0.230 0.000 0.577 [4 per cell]
O: 0.017 0.500 0.293 [4 per cell]
O: 0.187 0.000 0.680 [4 per cell]

Number 1: uncorrected energy -21.93 eV/f.u.. Number 2: uncorrected energy -54.73 eV/f.u..